A PBEsol-optimized structure of AlGe2MoN. Source: Alexandria via LeMat-Bulk, functional SCAN.

ρ: 5.52 Mg/m³
raw formation energy: 0.97 eV/atom
raw total energy: -17.05 eV/atom

abc: 3.3865 5.0086 5.0086
angles: 90.00 90.00 90.00
Last column: nearest neighbours and their distance in Å.
Atoms (fractional coordinates):
Mo (0.5000, 0.5000, 0.5000)  8 Ge 3.02
N (0.5000, 0.0000, 0.0000)  2 Al 1.69
Ge (0.0000, 0.0000, 0.5000)  2 Al 2.50
Ge (0.0000, 0.5000, 0.0000)  2 Al 2.50
Al (0.0000, 0.0000, 0.0000)  2 N 1.69


A PBEsol-optimized structure of Rb4PbO3. Source: Alexandria via LeMat-Bulk, functional SCAN.

ρ: 5.03 Mg/m³
raw formation energy: -1.30 eV/atom
raw total energy: -23.48 eV/atom

abc: 6.7639 11.9279 19.5489
angles: 90.00 90.00 90.00
Last column: nearest neighbours and their distance in Å.
Atoms (fractional coordinates):
Rb (0.9519, 0.3801, 0.2018)  3 O 2.78-2.94
Rb (0.4519, 0.1199, 0.7982)  3 O 2.78-2.94
Rb (0.0481, 0.8801, 0.2982)  3 O 2.78-2.94
Rb (0.5481, 0.6199, 0.7018)  3 O 2.78-2.94
Rb (0.0481, 0.6199, 0.7982)  3 O 2.78-2.94
Rb (0.5481, 0.8801, 0.2018)  3 O 2.78-2.94
Rb (0.9519, 0.1199, 0.7018)  3 O 2.78-2.94
Rb (0.4519, 0.3801, 0.2982)  3 O 2.78-2.94
Rb (0.7686, 0.1899, 0.9434)  4 O 2.76-2.91
Rb (0.2686, 0.3101, 0.0566)  4 O 2.76-2.91
Rb (0.2314, 0.6899, 0.5566)  4 O 2.76-2.91
Rb (0.7314, 0.8101, 0.4434)  4 O 2.76-2.91
Rb (0.2314, 0.8101, 0.0566)  4 O 2.76-2.91
Rb (0.7314, 0.6899, 0.9434)  4 O 2.76-2.91
Rb (0.7686, 0.3101, 0.4434)  4 O 2.76-2.91
Rb (0.2686, 0.1899, 0.5566)  4 O 2.76-2.91
Rb (0.7501, 0.0562, 0.5347)  5 O 2.83-3.01
Rb (0.2501, 0.4438, 0.4653)  5 O 2.83-3.01
Rb (0.2499, 0.5562, 0.9653)  5 O 2.83-3.01
Rb (0.7499, 0.9438, 0.0347)  5 O 2.83-3.01
Rb (0.2499, 0.9438, 0.4653)  5 O 2.83-3.01
Rb (0.7499, 0.5562, 0.5347)  5 O 2.83-3.01
Rb (0.7501, 0.4438, 0.0347)  5 O 2.83-3.01
Rb (0.2501, 0.0562, 0.9653)  5 O 2.83-3.01
Rb (0.6267, 0.1703, 0.1532)  3 O 2.71-2.80
Rb (0.1267, 0.3297, 0.8468)  3 O 2.71-2.80
Rb (0.3733, 0.6703, 0.3468)  3 O 2.71-2.80
Rb (0.8733, 0.8297, 0.6532)  3 O 2.71-2.80
Rb (0.3733, 0.8297, 0.8468)  3 O 2.71-2.80
Rb (0.8733, 0.6703, 0.1532)  3 O 2.71-2.80
Rb (0.6267, 0.3297, 0.6532)  3 O 2.71-2.80
Rb (0.1267, 0.1703, 0.3468)  3 O 2.71-2.80
Pb (0.6106, 0.0617, 0.3473)  3 O 2.18-2.20
Pb (0.1106, 0.4383, 0.6527)  3 O 2.18-2.20
Pb (0.3894, 0.5617, 0.1527)  3 O 2.18-2.20
Pb (0.8894, 0.9383, 0.8473)  3 O 2.18-2.20
Pb (0.3894, 0.9383, 0.6527)  3 O 2.18-2.20
Pb (0.8894, 0.5617, 0.3473)  3 O 2.18-2.20
Pb (0.6106, 0.4383, 0.8473)  3 O 2.18-2.20
Pb (0.1106, 0.0617, 0.1527)  3 O 2.18-2.20
O (0.9562, 0.3562, 0.5679)  1 Pb 2.19
O (0.4562, 0.1438, 0.4321)  1 Pb 2.19
O (0.0438, 0.8562, 0.9321)  1 Pb 2.19
O (0.5438, 0.6438, 0.0679)  1 Pb 2.19
O (0.0438, 0.6438, 0.4321)  1 Pb 2.19
O (0.5438, 0.8562, 0.5679)  1 Pb 2.19
O (0.9562, 0.1438, 0.0679)  1 Pb 2.19
O (0.4562, 0.3562, 0.9321)  1 Pb 2.19
O (0.5380, 0.3977, 0.1572)  1 Pb 2.20
O (0.0380, 0.1023, 0.8428)  1 Pb 2.20
O (0.4620, 0.8977, 0.3428)  1 Pb 2.20
O (0.9620, 0.6023, 0.6572)  1 Pb 2.20
O (0.4620, 0.6023, 0.8428)  1 Pb 2.20
O (0.9620, 0.8977, 0.1572)  1 Pb 2.20
O (0.5380, 0.1023, 0.6572)  1 Pb 2.20
O (0.0380, 0.3977, 0.3428)  1 Pb 2.20
O (0.8807, 0.4870, 0.9000)  1 Pb 2.18
O (0.3807, 0.0130, 0.1000)  1 Pb 2.18
O (0.1193, 0.9870, 0.6000)  1 Pb 2.18
O (0.6193, 0.5130, 0.4000)  1 Pb 2.18
O (0.1193, 0.5130, 0.1000)  1 Pb 2.18
O (0.6193, 0.9870, 0.9000)  1 Pb 2.18
O (0.8807, 0.0130, 0.4000)  1 Pb 2.18
O (0.3807, 0.4870, 0.6000)  1 Pb 2.18


A PBEsol-optimized structure of Ba2NaCaI. Source: Alexandria via LeMat-Bulk, functional SCAN.

ρ: 2.90 Mg/m³
raw formation energy: 0.00 eV/atom
raw total energy: -25.95 eV/atom

abc: 5.5577 6.9178 6.9178
angles: 90.00 90.00 90.00
Last column: nearest neighbours and their distance in Å.
Atoms (fractional coordinates):
I (0.5000, 0.0000, 0.0000)  2 Na 2.78
Na (0.0000, 0.0000, 0.0000)  2 I 2.78
Ca (0.5000, 0.5000, 0.5000)  8 Ba 4.44, 4 I 4.89
Ba (0.0000, 0.0000, 0.5000)  2 Na 3.46
Ba (0.0000, 0.5000, 0.0000)  2 Na 3.46


A PBEsol-optimized structure of Tl2AuCl. Source: Alexandria via LeMat-Bulk, functional SCAN.

ρ: 10.60 Mg/m³
raw formation energy: -0.36 eV/atom
raw total energy: -55.82 eV/atom
E above lowest polymorph: 0.141 eV per atom

abc: 4.1972 4.1972 6.4296
angles: 109.05 109.05 90.00
Last column: nearest neighbours and their distance in Å.
Atoms (fractional coordinates):
Tl (0.0000, 0.0000, 0.0000)  4 Au 2.97
Tl (0.7500, 0.2500, 0.5000)  4 Cl 2.97
Au (0.5000, 0.5000, 0.0000)  4 Tl 2.97
Cl (0.2500, 0.7500, 0.5000)  4 Tl 2.97


A PBEsol-optimized structure of CdCu2Au. Source: Alexandria via LeMat-Bulk, functional SCAN.

ρ: 12.29 Mg/m³
energy of formation from the pure elements: -44 meV/atom
raw total energy: -32.54 eV/atom

abc: 3.0049 3.0049 6.5299
angles: 90.00 90.00 90.00
Last column: nearest neighbours and their distance in Å.
Atoms (fractional coordinates):
Au (0.0000, 0.0000, 0.4667)  5 Cu 2.65-2.82, 4 Cd 2.92
Cu (0.0000, 0.0000, 0.0351)  4 Cu 2.46, 4 Cd 2.73
Cu (0.5000, 0.5000, 0.2247)  4 Cu 2.46, 4 Au 2.65
Cd (0.5000, 0.5000, 0.7734)  5 Cu 2.73-2.95, 4 Au 2.92, 4 Cd 3.00


A PBEsol-optimized structure of Ti2TlFeAs. Source: Alexandria via LeMat-Bulk, functional SCAN.

ρ: 6.47 Mg/m³
energy of formation from the pure elements: 752 meV/atom
raw total energy: -27.80 eV/atom

abc: 4.6452 4.6452 5.1259
angles: 90.00 90.00 90.00
Last column: nearest neighbours and their distance in Å.
Atoms (fractional coordinates):
Tl (0.0000, 0.0000, 0.5000)  2 As 2.56
Ti (0.0000, 0.5000, 0.0000)  2 As 2.32
Ti (0.5000, 0.0000, 0.0000)  2 As 2.32
As (0.0000, 0.0000, 0.0000)  4 Ti 2.32, 2 Tl 2.56
Fe (0.5000, 0.5000, 0.5000)  4 Tl 3.28, 8 Ti 3.46


A PBEsol-optimized structure of Be2SiRu. Source: Alexandria via LeMat-Bulk, functional SCAN.

ρ: 5.30 Mg/m³
raw formation energy: 0.10 eV/atom
raw total energy: -13.28 eV/atom

abc: 2.7010 2.7010 7.4594
angles: 79.57 79.57 60.00
Last column: nearest neighbours and their distance in Å.
Atoms (fractional coordinates):
Ru (0.4983, 0.4983, 0.5050)  3 Be 2.39, 3 Si 2.43
Si (0.2504, 0.2504, 0.2489)  3 Be 2.43, 3 Ru 2.43, 6 Si 2.70
Be (0.0023, 0.0023, 0.9931)  3 Be 2.35, 3 Si 2.43
Be (0.7490, 0.7490, 0.7529)  3 Be 2.35, 3 Ru 2.39


A PBEsol-optimized structure of Mg4ScCd. Source: Alexandria via LeMat-Bulk, functional SCAN.

ρ: 3.12 Mg/m³
energy of formation from the pure elements: 71 meV/atom
raw total energy: -10.69 eV/atom

abc: 5.7640 5.7640 5.7640
angles: 60.00 60.00 60.00
Last column: nearest neighbours and their distance in Å.
Atoms (fractional coordinates):
Cd (0.0000, 0.0000, 0.0000)  12 Mg 3.38, 4 Sc 3.53
Mg (0.3756, 0.3756, 0.3756)  6 Mg 2.87-2.89
Mg (0.3756, 0.3756, 0.8733)  6 Mg 2.87-2.89
Mg (0.8733, 0.3756, 0.3756)  6 Mg 2.87-2.89
Mg (0.3756, 0.8733, 0.3756)  6 Mg 2.87-2.89
Sc (0.7500, 0.7500, 0.7500)  12 Mg 3.38, 4 Cd 3.53


What is the ρ in the sixth record?
6.47 Mg/m³


What is the ρ in the sixth record?
6.47 Mg/m³


Look up the ρ of the seventh one.
5.30 Mg/m³